VASP calculation (GGA-PBE) on crystalline TaMo2 at its relaxed geometry.

```
data_TaMo2
_chemical_formula_sum 'Ta3 Mo6'
_cell_length_a 6.5767
_cell_length_b 6.5767
_cell_length_c 4.2449
_cell_angle_alpha 90.00
_cell_angle_beta 90.00
_cell_angle_gamma 120.00
_symmetry_space_group_name_H-M 'P -6 2 m'
_symmetry_Int_Tables_number 189
_symmetry_space_group_name_Hall 'P -6 -2'
loop_
_atom_site_label
_atom_site_type_symbol
_atom_site_fract_x
_atom_site_fract_y
_atom_site_fract_z
Ta1 Ta 0.0000 0.0000 0.0000
Ta2 Ta 0.3333 0.6667 0.5000
Mo1 Mo 0.0000 0.2395 0.5000
Mo2 Mo 0.0000 0.5285 0.0000
```

Output
The total magnetic moment is 0.00 μB/cell. For the calculated total energy, the calculation gives -95.540 eV per cell. As for the density of states at the Fermi level: 8.0 states/eV/cell. For the formation energy, the calculation gives 0.56 eV/atom.